1.
First-principles (PBE) data for crystalline YC2SeF at its relaxed geometry, as listed in Alexandria via LeMat-Bulk.

V: 15.645 A^3/atom
uncorrected energy: -0.18079 hartree per atom
formation energy from raw total energies: 1.13 eV per atom
mass density: 4.48 g/cm3

a b c (Å): 4.259 4.259 4.312
angles (deg): 90.00 90.00 90.00
Space group P4/mmm (No. 123)
One atom of each set of equivalent atoms:
Y: 0.000 0.000 0.000 (multiplicity 1)
C: 0.000 0.500 0.500 (multiplicity 2)
Se: 0.500 0.500 0.000 (multiplicity 1)
F: 0.000 0.000 0.500 (multiplicity 1)


2.
First-principles (PBE) data for crystalline SiCF3 at its relaxed geometry, as listed in Alexandria via LeMat-Bulk.

V: 12.173 A^3/atom
polymorph energy (0 for the lowest one): 0.5027 eV per atom
uncorrected energy: -0.13673 hartree per atom
formation energy from raw total energies: 0.33 eV per atom
mass density: 2.65 g/cm3

a b c (Å): 3.934 3.934 3.934
angles (deg): 90.00 90.00 90.00
Space group Pm-3m (No. 221)
One atom of each set of equivalent atoms:
Si: 0.000 0.000 0.000 (multiplicity 1)
C: 0.500 0.500 0.500 (multiplicity 1)
F: 0.000 0.500 0.500 (multiplicity 3)


3.
First-principles (PBE) data for crystalline SiC3F at its relaxed geometry, as listed in Alexandria via LeMat-Bulk.

V: 10.144 A^3/atom
polymorph energy (0 for the lowest one): 1.1167 eV per atom
uncorrected energy: -0.13975 hartree per atom
formation energy from raw total energies: 3.19 eV per atom
mass density: 2.72 g/cm3

a b c (Å): 3.702 3.702 3.702
angles (deg): 90.00 90.00 90.00
Space group Pm-3m (No. 221)
One atom of each set of equivalent atoms:
Si: 0.000 0.000 0.000 (multiplicity 1)
C: 0.000 0.500 0.500 (multiplicity 3)
F: 0.500 0.500 0.500 (multiplicity 1)


4.
First-principles (PBE) data for crystalline SiCF3 at its relaxed geometry, as listed in Alexandria via LeMat-Bulk.

V: 11.745 A^3/atom
polymorph energy (0 for the lowest one): 0.0000 eV per atom
uncorrected energy: -0.15520 hartree per atom
formation energy from raw total energies: -0.17 eV per atom
mass density: 2.75 g/cm3

a b c (Å): 3.887 3.887 3.887
angles (deg): 90.00 90.00 90.00
Space group Pm-3m (No. 221)
One atom of each set of equivalent atoms:
Si: 0.000 0.000 0.000 (multiplicity 1)
C: 0.500 0.500 0.500 (multiplicity 1)
F: 0.000 0.000 0.500 (multiplicity 3)